(1)
Below is a relaxed structure of Ca2Cd2Sb, with properties calculated at the PBE level.

The structure in CIF format:
```
data_Ca2Cd2Sb
_chemical_formula_sum 'Ca4 Cd4 Sb2'
_symmetry_space_group_name_H-M 'I 4/m m m'
_symmetry_Int_Tables_number 139
_symmetry_space_group_name_Hall '-I 4 2'
_cell_length_a 4.026
_cell_length_b 4.026
_cell_length_c 18.662
_cell_angle_alpha 90.00
_cell_angle_beta 90.00
_cell_angle_gamma 90.00
loop_
_atom_site_label
_atom_site_fract_x
_atom_site_fract_y
_atom_site_fract_z
_atom_site_occupancy
Ca1 0.000 0.000 0.094 1
Cd1 0.000 0.500 0.250 1
Sb1 0.000 0.000 0.500 1
```

Values from the calculation:
Uncorrected energy ... -2.40 eV per atom
Polymorph energy (0 for the lowest one) ... 0.05 eV per formula unit
E_form (uncorrected) ... -0.41 eV/atom



(2)
Below is a relaxed structure of Li2Ge2W, with properties calculated at the PBE level.

The structure in CIF format:
```
data_Li2Ge2W
_chemical_formula_sum 'Li4 Ge4 W2'
_symmetry_space_group_name_H-M 'P 4/m b m'
_symmetry_Int_Tables_number 127
_symmetry_space_group_name_Hall '-P 4 2ab'
_cell_length_a 7.103
_cell_length_b 7.103
_cell_length_c 2.902
_cell_angle_alpha 90.00
_cell_angle_beta 90.00
_cell_angle_gamma 90.00
loop_
_atom_site_label
_atom_site_fract_x
_atom_site_fract_y
_atom_site_fract_z
_atom_site_occupancy
Li1 0.137 0.363 0.000 1
Ge1 0.164 0.664 0.500 1
W1 0.000 0.000 0.500 1
```

Values from the calculation:
DFT formation energy ... 0.064 eV per atom
Uncorrected energy ... -5.14 eV per atom



(3)
Below is a relaxed structure of KZn2GaAu, with properties calculated at the PBE level.

The structure in CIF format:
```
data_KZn2GaAu
_chemical_formula_sum 'K1 Zn2 Ga1 Au1'
_symmetry_space_group_name_H-M 'P 4/m m m'
_symmetry_Int_Tables_number 123
_symmetry_space_group_name_Hall '-P 4 2'
_cell_length_a 5.036
_cell_length_b 5.036
_cell_length_c 5.146
_cell_angle_alpha 90.00
_cell_angle_beta 90.00
_cell_angle_gamma 90.00
loop_
_atom_site_label
_atom_site_fract_x
_atom_site_fract_y
_atom_site_fract_z
_atom_site_occupancy
K1 0.000 0.000 0.000 1
Zn1 0.000 0.500 0.500 1
Ga1 0.500 0.500 0.000 1
Au1 0.500 0.500 0.500 1
```

Values from the calculation:
DFT formation energy ... -0.020 eV per atom
Uncorrected energy ... -2.01 eV per atom



(4)
Below is a relaxed structure of CsSe2Cl4, with properties calculated at the PBE level.

The structure in CIF format:
```
data_CsSe2Cl4
_chemical_formula_sum 'Cs4 Se8 Cl16'
_symmetry_space_group_name_H-M 'C 1 2 1'
_symmetry_Int_Tables_number 5
_cell_length_a 11.327
_cell_length_b 11.709
_cell_length_c 11.051
_cell_angle_alpha 90.00
_cell_angle_beta 120.83
_cell_angle_gamma 90.00
loop_
_symmetry_equiv_pos_as_xyz
'x,y,z'
'-x,y,-z'
'x+1/2,y+1/2,z'
'-x+1/2,y+1/2,-z'
loop_
_atom_site_label
_atom_site_fract_x
_atom_site_fract_y
_atom_site_fract_z
_atom_site_occupancy
Cs1 0.000 0.000 0.000 1
Cs2 0.000 0.250 0.500 1
Se1 0.043 0.583 0.220 1
Se2 0.178 0.417 0.221 1
Cl1 0.019 0.270 0.188 1
Cl2 0.115 0.008 0.740 1
Cl3 0.125 0.492 0.741 1
Cl4 0.170 0.730 0.188 1
```

Values from the calculation:
Uncorrected energy ... -2.86 eV per atom
E_form (uncorrected) ... -0.68 eV/atom



(5)
Below is a relaxed structure of K8Au2S, with properties calculated at the PBE level.

The structure in CIF format:
```
data_K8Au2S
_chemical_formula_sum 'K16 Au4 S2'
_symmetry_space_group_name_H-M 'C 1 2/m 1'
_symmetry_Int_Tables_number 12
_cell_length_a 25.586
_cell_length_b 4.663
_cell_length_c 9.358
_cell_angle_alpha 90.00
_cell_angle_beta 90.54
_cell_angle_gamma 90.00
loop_
_symmetry_equiv_pos_as_xyz
'x,y,z'
'-x,-y,-z'
'-x,y,-z'
'x,-y,z'
'x+1/2,y+1/2,z'
'-x+1/2,-y+1/2,-z'
'-x+1/2,y+1/2,-z'
'x+1/2,-y+1/2,z'
loop_
_atom_site_label
_atom_site_fract_x
_atom_site_fract_y
_atom_site_fract_z
_atom_site_occupancy
K1 0.010 0.000 0.210 1
K2 0.114 0.500 0.502 1
K3 0.118 0.500 0.002 1
K4 0.249 0.000 0.736 1
Au1 0.151 0.000 0.258 1
S1 0.000 0.500 0.000 1
```

Values from the calculation:
Uncorrected energy ... -2.14 eV per atom
E_form (uncorrected) ... -0.37 eV/atom



(6)
Below is a relaxed structure of SmTmIrPb, with properties calculated at the PBE level.

The structure in CIF format:
```
data_SmTmIrPb
_chemical_formula_sum 'Sm4 Tm4 Ir4 Pb4'
_symmetry_space_group_name_H-M 'F -4 3 m'
_symmetry_Int_Tables_number 216
_symmetry_space_group_name_Hall 'F -4 2 3'
_cell_length_a 7.294
_cell_length_b 7.294
_cell_length_c 7.294
_cell_angle_alpha 90.00
_cell_angle_beta 90.00
_cell_angle_gamma 90.00
loop_
_atom_site_label
_atom_site_fract_x
_atom_site_fract_y
_atom_site_fract_z
_atom_site_occupancy
Sm1 0.000 0.000 0.000 1
Tm1 0.000 0.000 0.500 1
Ir1 0.250 0.250 0.750 1
Pb1 0.250 0.250 0.250 1
```

Values from the calculation:
DFT formation energy ... -0.449 eV per atom
Uncorrected energy ... -5.89 eV per atom



(7)
Below is a relaxed structure of SbKr3F11, with properties calculated at the PBE level.

The structure in CIF format:
```
data_SbKr3F11
_chemical_formula_sum 'Sb2 Kr6 F22'
_symmetry_space_group_name_H-M 'P -1'
_symmetry_Int_Tables_number 2
_cell_length_a 8.330
_cell_length_b 8.809
_cell_length_c 9.264
_cell_angle_alpha 69.84
_cell_angle_beta 64.34
_cell_angle_gamma 83.47
loop_
_symmetry_equiv_pos_as_xyz
'x,y,z'
'-x,-y,-z'
loop_
_atom_site_label
_atom_site_fract_x
_atom_site_fract_y
_atom_site_fract_z
_atom_site_occupancy
Sb1 0.207 0.316 0.228 1
Kr1 0.174 0.329 0.733 1
Kr2 0.262 0.830 0.219 1
Kr3 0.313 0.852 0.706 1
F1 0.012 0.187 0.706 1
F2 0.041 0.686 0.619 1
F3 0.140 0.205 0.115 1
F4 0.176 0.521 0.081 1
F5 0.184 0.920 0.903 1
F6 0.232 0.111 0.380 1
F7 0.267 0.428 0.345 1
F8 0.335 0.450 0.743 1
F9 0.446 0.793 0.505 1
F10 0.453 0.314 0.079 1
F11 0.498 0.135 0.844 1
```

Values from the calculation:
Uncorrected energy ... -2.61 eV per atom
E_form (uncorrected) ... -0.95 eV/atom



(8)
Below is a relaxed structure of HgBr2, with properties calculated at the PBE level.

The structure in CIF format:
```
data_HgBr2
_chemical_formula_sum 'Hg4 Br8'
_symmetry_space_group_name_H-M 'C m c m'
_symmetry_Int_Tables_number 63
_symmetry_space_group_name_Hall '-C 2c 2'
_cell_length_a 4.157
_cell_length_b 22.482
_cell_length_c 4.153
_cell_angle_alpha 90.00
_cell_angle_beta 90.00
_cell_angle_gamma 90.00
loop_
_atom_site_label
_atom_site_fract_x
_atom_site_fract_y
_atom_site_fract_z
_atom_site_occupancy
Hg1 0.000 0.098 0.250 1
Br1 0.000 0.250 0.750 1
Br2 0.000 0.412 0.250 1
```

Values from the calculation:
Uncorrected energy ... -1.26 eV per atom
E_form (uncorrected) ... -0.04 eV/atom



So what do the calculations give for total magnetization? Going down the list: 0.00; 0.00; 0.00; 1.03; 0.00; 0.00; 0.09; 0.00 μB per formula unit.